# 1
Below is crystalline Li4Tb3SmS8 at its relaxed geometry, with properties calculated at the PBE level. Values from VASP.

Output
Theoretical density = 4.5 g cm⁻³
Raw formation energy = -1.834 eV per atom
D(E_F) = 0.0 states/eV/f.u.

Cell and atoms, written as Quantum ESPRESSO input:
```
&SYSTEM
  ibrav = 0, nat = 16, ntyp = 4
/
ATOMIC_SPECIES
Tb 158.93 Tb.upf
Li 6.94 Li.upf
S 32.06 S.upf
Sm 150.36 Sm.upf
CELL_PARAMETERS angstrom
-4.864 -6.154 0.971
3.978 -2.163 6.219
-2.944 7.308 -0.600
ATOMIC_POSITIONS crystal
Tb 0.000 0.500 0.500
Tb 0.500 0.500 0.000
Tb 0.500 0.500 0.500
Li 0.000 0.000 0.000
Li 0.000 0.000 0.500
Li 0.500 0.000 0.500
Li 0.500 0.000 0.000
S 0.253 0.752 0.000
S 0.747 0.248 0.000
S 0.747 0.248 0.494
S 0.253 0.752 0.506
S 0.747 0.752 0.000
S 0.253 0.248 0.000
S 0.750 0.751 0.501
S 0.250 0.249 0.499
Sm 0.000 0.500 0.000
```

# 2
Below is crystalline KMg2P2 at its relaxed geometry, with properties calculated at the PBE level. Values from VASP.

Output
Theoretical density = 2.1 g cm⁻³
Offset from the most stable computed form = 0.000 eV/atom
D(E_F) = 2.9 states/eV/f.u.

Cell and atoms, written as Quantum ESPRESSO input:
```
&SYSTEM
  ibrav = 0, nat = 5, ntyp = 3
/
ATOMIC_SPECIES
K 39.10 K.upf
Mg 24.30 Mg.upf
P 30.97 P.upf
CELL_PARAMETERS angstrom
-0.970 -1.014 4.207
-2.723 -3.208 -1.401
2.648 -5.971 1.510
ATOMIC_POSITIONS crystal
K 0.000 0.000 0.000
Mg 0.250 0.750 0.500
Mg 0.750 0.250 0.500
P 0.633 0.633 0.734
P 0.367 0.367 0.266
```

# 3
Below is crystalline BeTlSeN2 at its relaxed geometry, with properties calculated at the PBE level. Values from VASP.

Output
Theoretical density = 6.9 g cm⁻³
Offset from the most stable computed form = 0.000 eV/atom
Raw formation energy = 1.184 eV per atom
D(E_F) = 2.1 states/eV/f.u.

Cell and atoms, written as Quantum ESPRESSO input:
```
&SYSTEM
  ibrav = 0, nat = 5, ntyp = 4
/
ATOMIC_SPECIES
Tl 204.38 Tl.upf
N 14.01 N.upf
Be 9.01 Be.upf
Se 78.96 Se.upf
CELL_PARAMETERS angstrom
-3.585 1.097 -0.688
-0.003 -2.032 -3.225
-1.808 -4.234 2.669
ATOMIC_POSITIONS crystal
Tl 0.500 0.500 0.500
N 0.000 0.500 0.000
N 0.500 0.000 0.000
Be 0.000 0.000 0.000
Se 0.000 0.000 0.500
```

# 4
Below is crystalline RbBa3Cu at its relaxed geometry, with properties calculated at the PBE level. Values from VASP.

Output
Theoretical density = 3.3 g cm⁻³
Offset from the most stable computed form = 0.000 eV/atom
D(E_F) = 5.6 states/eV/f.u.

Cell and atoms, written as Quantum ESPRESSO input:
```
&SYSTEM
  ibrav = 0, nat = 5, ntyp = 3
/
ATOMIC_SPECIES
Ba 137.33 Ba.upf
Cu 63.55 Cu.upf
Rb 85.47 Rb.upf
CELL_PARAMETERS angstrom
-3.307 -0.672 -5.660
-2.814 -5.498 2.297
-4.957 3.570 2.472
ATOMIC_POSITIONS crystal
Ba 0.500 0.000 0.000
Ba 0.000 0.500 0.000
Ba 0.000 0.000 0.500
Cu 0.000 0.000 0.000
Rb 0.500 0.500 0.500
```

# 5
Below is crystalline NbCr2Mo at its relaxed geometry, with properties calculated at the PBE level. Values from VASP.

Output
Theoretical density = 8.5 g cm⁻³
Offset from the most stable computed form = 0.005 eV/atom
D(E_F) = 3.4 states/eV/f.u.

Cell and atoms, written as Quantum ESPRESSO input:
```
&SYSTEM
  ibrav = 0, nat = 4, ntyp = 3
/
ATOMIC_SPECIES
Mo 95.94 Mo.upf
Nb 92.91 Nb.upf
Cr 52.00 Cr.upf
CELL_PARAMETERS angstrom
3.057 0.000 0.000
0.000 3.057 0.000
0.000 0.000 6.140
ATOMIC_POSITIONS crystal
Mo 0.500 0.500 0.000
Nb 0.500 0.500 0.500
Cr 0.000 0.000 0.242
Cr 0.000 0.000 0.758
```

# 6
Below is crystalline TiI2BrN at its relaxed geometry, with properties calculated at the PBE level. Values from VASP.

Output
Theoretical density = 5.1 g cm⁻³
Offset from the most stable computed form = 0.000 eV/atom
Raw formation energy = 0.021 eV per atom
D(E_F) = 7.5 states/eV/f.u.

Cell and atoms, written as Quantum ESPRESSO input:
```
&SYSTEM
  ibrav = 0, nat = 5, ntyp = 4
/
ATOMIC_SPECIES
N 14.01 N.upf
I 126.90 I.upf
Ti 47.87 Ti.upf
Br 79.90 Br.upf
CELL_PARAMETERS angstrom
-3.449 1.718 -4.373
-2.668 -5.181 0.069
-2.492 1.316 2.483
ATOMIC_POSITIONS crystal
N 0.000 0.000 0.500
I 0.000 0.500 0.000
I 0.500 0.000 0.000
Ti 0.000 0.000 0.000
Br 0.500 0.500 0.500
```

# 7
Below is crystalline Tb2DyThAs4 at its relaxed geometry, with properties calculated at the PBE level. Values from VASP.

Output
Theoretical density = 8.2 g cm⁻³
E_tot = -52.0 eV/cell
D(E_F) = 1.5 states/eV/f.u.

Cell and atoms, written as Quantum ESPRESSO input:
```
&SYSTEM
  ibrav = 0, nat = 8, ntyp = 4
/
ATOMIC_SPECIES
As 74.92 As.upf
Dy 162.50 Dy.upf
Tb 158.93 Tb.upf
Th 232.04 Th.upf
CELL_PARAMETERS angstrom
-3.445 -1.916 -1.366
-1.289 -2.434 6.663
-4.064 4.772 3.557
ATOMIC_POSITIONS crystal
As 0.000 0.754 0.745
As 0.000 0.246 0.255
As 0.500 0.751 0.252
As 0.500 0.249 0.748
Dy 0.000 0.500 0.500
Tb 0.000 0.000 0.000
Tb 0.500 0.000 0.500
Th 0.500 0.500 0.000
```